DFT (PBE) results for a geometry-optimized NdHo4Hg structure.

Values from the calculation:
Offset from the most stable computed form, meV/atom: 0
Crystal system: tetragonal
E_form, eV/atom: -0.141
Density of states at the Fermi level, states/eV per atom: 1.4090
Electronic total energy, eV per atom: -4.04

Cell: 3.586 3.586 13.998 Å, 90.00 90.00 90.00°
Sites, in units of the cell vectors:
Nd 0.000 0.000 0.000
Ho 0.000 0.000 0.358
Ho 0.000 0.000 0.642
Ho 0.500 0.500 0.181
Ho 0.500 0.500 0.819
Hg 0.500 0.500 0.500